1.
The following is a PBE calculation of crystalline MnPtRhC2 at its relaxed geometry, from Alexandria. Values from VASP.

Quantum ESPRESSO input file:
```
&SYSTEM
  ibrav = 0, nat = 5, ntyp = 4
/
ATOMIC_SPECIES
C 12.01 C.upf
Mn 54.94 Mn.upf
Rh 102.91 Rh.upf
Pt 195.08 Pt.upf
CELL_PARAMETERS angstrom
-0.621 -3.139 1.777
2.491 -2.523 -3.587
3.122 0.436 1.861
ATOMIC_POSITIONS crystal
C 0.000 0.000 0.500
C 0.500 0.000 0.000
Mn 0.000 0.000 0.000
Rh 0.000 0.500 0.000
Pt 0.500 0.500 0.500
```

Output
Electronic total energy ... -33.15 eV for the cell shown
Symmetry ... P4/mmm, No. 123

2.
The following is a PBE calculation of crystalline ScMn2PtC at its relaxed geometry, from Alexandria. Values from VASP.

Quantum ESPRESSO input file:
```
&SYSTEM
  ibrav = 0, nat = 5, ntyp = 4
/
ATOMIC_SPECIES
Sc 44.96 Sc.upf
C 12.01 C.upf
Mn 54.94 Mn.upf
Pt 195.08 Pt.upf
CELL_PARAMETERS angstrom
-1.553 -2.791 2.188
3.057 0.157 2.370
-2.070 3.085 2.466
ATOMIC_POSITIONS crystal
Sc 0.000 0.000 0.500
C 0.000 0.000 0.000
Mn 0.000 0.500 0.000
Mn 0.500 0.000 0.000
Pt 0.500 0.500 0.500
```

Output
Electronic total energy ... -41.74 eV for the cell shown
Symmetry ... P4/mmm, No. 123

3.
The following is a PBE calculation of crystalline Sc2MnPtC at its relaxed geometry, from Alexandria. Values from VASP.

Quantum ESPRESSO input file:
```
&SYSTEM
  ibrav = 0, nat = 5, ntyp = 4
/
ATOMIC_SPECIES
Sc 44.96 Sc.upf
C 12.01 C.upf
Mn 54.94 Mn.upf
Pt 195.08 Pt.upf
CELL_PARAMETERS angstrom
-4.111 0.046 1.876
1.574 -2.377 3.506
0.834 3.133 1.750
ATOMIC_POSITIONS crystal
Sc 0.000 0.500 0.000
Sc 0.500 0.000 0.000
C 0.000 0.000 0.000
Mn 0.000 0.000 0.500
Pt 0.500 0.500 0.500
```

Output
Electronic total energy ... -40.29 eV for the cell shown
Symmetry ... P4/mmm, No. 123

4.
The following is a PBE calculation of crystalline MnSiPt2C at its relaxed geometry, from Alexandria. Values from VASP.

Quantum ESPRESSO input file:
```
&SYSTEM
  ibrav = 0, nat = 5, ntyp = 4
/
ATOMIC_SPECIES
Si 28.09 Si.upf
Mn 54.94 Mn.upf
C 12.01 C.upf
Pt 195.08 Pt.upf
CELL_PARAMETERS angstrom
4.724 0.000 0.000
0.000 3.530 0.000
0.000 0.000 4.724
ATOMIC_POSITIONS crystal
Si 0.500 0.500 0.500
Mn 0.000 0.000 0.000
C 0.000 0.500 0.000
Pt 0.000 0.000 0.500
Pt 0.500 0.000 0.000
```

Output
Electronic total energy ... -30.26 eV for the cell shown
Symmetry ... P4/mmm, No. 123
Raw formation energy ... 1127 meV per atom

5.
The following is a PBE calculation of crystalline SrMn2PtC at its relaxed geometry, from Alexandria. Values from VASP.

Quantum ESPRESSO input file:
```
&SYSTEM
  ibrav = 0, nat = 5, ntyp = 4
/
ATOMIC_SPECIES
Sr 87.62 Sr.upf
C 12.01 C.upf
Mn 54.94 Mn.upf
Pt 195.08 Pt.upf
CELL_PARAMETERS angstrom
-0.114 -0.656 -4.013
0.749 -4.244 0.672
-4.006 -0.672 0.224
ATOMIC_POSITIONS crystal
Sr 0.500 0.500 0.500
C 0.000 0.000 0.000
Mn 0.000 0.000 0.500
Mn 0.500 0.000 0.000
Pt 0.000 0.500 0.000
```

Output
Electronic total energy ... -32.83 eV for the cell shown
Symmetry ... P4/mmm, No. 123

6.
The following is a PBE calculation of crystalline Ta2MnPtC at its relaxed geometry, from Alexandria. Values from VASP.

Quantum ESPRESSO input file:
```
&SYSTEM
  ibrav = 0, nat = 5, ntyp = 4
/
ATOMIC_SPECIES
C 12.01 C.upf
Mn 54.94 Mn.upf
Pt 195.08 Pt.upf
Ta 180.95 Ta.upf
CELL_PARAMETERS angstrom
-1.797 3.395 -1.894
-2.260 0.786 3.552
2.823 2.221 1.304
ATOMIC_POSITIONS crystal
C 0.000 0.000 0.000
Mn 0.000 0.000 0.500
Pt 0.500 0.500 0.500
Ta 0.000 0.500 0.000
Ta 0.500 0.000 0.000
```

Output
Electronic total energy ... -50.04 eV for the cell shown
Symmetry ... P4/mmm, No. 123

7.
The following is a PBE calculation of crystalline MnTc2PtC at its relaxed geometry, from Alexandria. Values from VASP.

Quantum ESPRESSO input file:
```
&SYSTEM
  ibrav = 0, nat = 5, ntyp = 4
/
ATOMIC_SPECIES
C 12.01 C.upf
Mn 54.94 Mn.upf
Tc 98.00 Tc.upf
Pt 195.08 Pt.upf
CELL_PARAMETERS angstrom
4.052 0.000 0.000
0.000 4.052 0.000
0.000 0.000 3.953
ATOMIC_POSITIONS crystal
C 0.000 0.000 0.000
Mn 0.000 0.000 0.500
Tc 0.000 0.500 0.000
Tc 0.500 0.000 0.000
Pt 0.500 0.500 0.500
```

Output
Electronic total energy ... -44.99 eV for the cell shown
Symmetry ... P4/mmm, No. 123

8.
The following is a PBE calculation of crystalline Mn2TcPtC at its relaxed geometry, from Alexandria. Values from VASP.

Quantum ESPRESSO input file:
```
&SYSTEM
  ibrav = 0, nat = 5, ntyp = 4
/
ATOMIC_SPECIES
C 12.01 C.upf
Mn 54.94 Mn.upf
Tc 98.00 Tc.upf
Pt 195.08 Pt.upf
CELL_PARAMETERS angstrom
3.951 0.000 0.000
0.000 3.951 0.000
0.000 0.000 4.011
ATOMIC_POSITIONS crystal
C 0.000 0.000 0.000
Mn 0.000 0.500 0.000
Mn 0.500 0.000 0.000
Tc 0.000 0.000 0.500
Pt 0.500 0.500 0.500
```

Output
Electronic total energy ... -43.99 eV for the cell shown
Symmetry ... P4/mmm, No. 123